Entry from Alexandria via LeMat-Bulk: a relaxed structure of ThBiP (PBE-GGA).

Structure (POSCAR):
```
ThBiP
1.0
-3.549 -0.496 2.311
1.714 -3.411 1.900
3.418 5.272 6.380
Bi P Th
2 2 2
direct
0.000 0.000 0.000
0.500 0.500 0.000
0.000 0.500 0.362
0.500 0.000 0.638
0.000 0.500 0.679
0.500 0.000 0.321
```

For the formation energy, the calculation gives -874 meV/atom. Its density of states at the Fermi level is 1.3 states/eV/f.u. As for the total moment: 0.000 μB per atom. As for the space group: P4/nmm, No. 129.



Entry from Alexandria via LeMat-Bulk: a relaxed structure of Ca2CrTe (PBE-GGA).

Structure (POSCAR):
```
Ca2CrTe
1.0
8.487 -0.002 -0.004
-3.264 4.128 -0.007
1.958 1.552 3.216
Cr Ca Te
1 2 1
direct
0.000 0.500 0.500
0.000 0.000 0.000
0.500 0.000 0.500
0.500 0.500 0.000
```

Its density of states at the Fermi level is 2.4 states/eV/f.u. The calculation puts the uncorrected formation energy at -0.26 eV/atom. As for the total moment: 1.271 μB per atom. As for the space group: P4/mmm, No. 123.



Entry from Alexandria via LeMat-Bulk: a relaxed structure of CeBeNb (PBE-GGA).

Structure (POSCAR):
```
CeBeNb
1.0
-1.575 -2.413 2.169
5.393 2.058 6.208
-4.639 5.123 2.331
Ce Be Nb
4 4 4
direct
0.250 0.350 0.538
0.750 0.650 0.462
0.250 0.150 0.038
0.750 0.850 0.962
0.250 0.637 0.777
0.750 0.363 0.223
0.250 0.863 0.277
0.750 0.137 0.723
0.250 0.563 0.119
0.750 0.437 0.881
0.250 0.937 0.619
0.750 0.063 0.381
```

For the formation energy, the calculation gives 152 meV/atom. Its density of states at the Fermi level is 4.3 states/eV/f.u. As for the total moment: 0.000 μB per atom. As for the space group: Pnma, No. 62.



Entry from Alexandria via LeMat-Bulk: a relaxed structure of ZrZnIrPd2 (PBE-GGA).

Structure (POSCAR):
```
ZrZnIrPd2
1.0
-4.528 -0.955 -1.151
0.460 -4.506 1.929
-1.428 1.667 4.234
Zn Ir Zr Pd
1 1 1 2
direct
0.000 0.500 0.000
0.500 0.500 0.500
0.000 0.000 0.000
0.000 0.000 0.500
0.500 0.000 0.000
```

For the formation energy, the calculation gives 1413 meV/atom. Its density of states at the Fermi level is 5.6 states/eV/f.u. As for the total moment: 0.094 μB per atom. As for the space group: P4/mmm, No. 123.



Entry from Alexandria via LeMat-Bulk: a relaxed structure of Sm2AlSi (PBE-GGA).

Structure (POSCAR):
```
Sm2AlSi
1.0
4.043 0.000 0.000
0.000 5.987 -0.120
0.000 -3.144 8.325
Sm Al Si
4 2 2
direct
0.750 0.221 0.426
0.250 0.779 0.574
0.250 0.787 0.068
0.750 0.213 0.932
0.750 0.641 0.284
0.250 0.359 0.716
0.250 0.357 0.212
0.750 0.643 0.788
```

Its density of states at the Fermi level is 3.6 states/eV/f.u. The calculation puts the uncorrected formation energy at -0.62 eV/atom. As for the total moment: 0.000 μB per atom. As for the space group: P2_1/m, No. 11.



Entry from Alexandria via LeMat-Bulk: a relaxed structure of PRh3Au (PBE-GGA).

Structure (POSCAR):
```
PRh3Au
1.0
-0.388 -2.897 3.255
-1.537 -2.967 -2.824
4.077 -1.394 -0.754
Rh Au P
3 1 1
direct
0.000 0.500 0.000
0.000 0.000 0.500
0.500 0.000 0.000
0.500 0.500 0.500
0.000 0.000 0.000
```

For the formation energy, the calculation gives 63 meV/atom. Its density of states at the Fermi level is 7.1 states/eV/f.u. As for the total moment: 0.000 μB per atom. As for the space group: Pm-3m, No. 221.



What did the fourth record say?
Entry from Alexandria via LeMat-Bulk: a relaxed structure of ZrZnIrPd2 (PBE-GGA).

Structure (POSCAR):
```
ZrZnIrPd2
1.0
-4.528 -0.955 -1.151
0.460 -4.506 1.929
-1.428 1.667 4.234
Zn Ir Zr Pd
1 1 1 2
direct
0.000 0.500 0.000
0.500 0.500 0.500
0.000 0.000 0.000
0.000 0.000 0.500
0.500 0.000 0.000
```

For the formation energy, the calculation gives 1413 meV/atom. Its density of states at the Fermi level is 5.6 states/eV/f.u. As for the total moment: 0.094 μB per atom. As for the space group: P4/mmm, No. 123.



- total moment of number 6 (PRh3Au)?
  0.000 μB per atom